An optimized crystal structure of HoScHg, computed with GGA-PBE.

Output
Calculated volume ... 24.84 Å³ per atom
ΔE_f ... -0.31 eV per atom
Total moment ... 0.0000 μB per atom
Total DFT energy (no corrections) ... -4.045 eV per atom
N(E_F) ... 0.693 states/eV/atom

Unit cell a=5.0193 b=5.0193 c=6.8298 alpha=90.00 beta=90.00 gamma=119.98
Closest atoms and distances in Å follow each position.
Sites, in units of the cell vectors:
Ho 0.0000 0.5000 0.0000  6 Hg 3.36, 6 Sc 3.36, 2 Ho 3.41
Ho 0.0000 0.5000 0.5000  6 Hg 3.36, 6 Sc 3.36, 2 Ho 3.41
Hg 0.3332 0.1668 0.7500  3 Sc 2.90
Hg 0.6668 0.8332 0.2500  3 Sc 2.90
Sc 0.3334 0.1666 0.2500  3 Hg 2.90
Sc 0.6666 0.8334 0.7500  3 Hg 2.90